# SmY2Sn9 PBE-GGA relaxed
# Calculated formation energy = -0.445 eV per atom
data_SmY2Sn9
_chemical_formula_sum 'Sm1 Y2 Sn9'
_symmetry_space_group_name_H-M 'P 4/m m m'
_symmetry_Int_Tables_number 123
_symmetry_space_group_name_Hall '-P 4 2'
_cell_length_a 4.807
_cell_length_b 4.807
_cell_length_c 13.751
_cell_angle_alpha 90.00
_cell_angle_beta 90.00
_cell_angle_gamma 90.00
loop_
_atom_site_label
_atom_site_type_symbol
_atom_site_fract_x
_atom_site_fract_y
_atom_site_fract_z
Sm1 Sm 0.000 0.000 0.000
Y1 Y 0.000 0.000 0.334
Sn1 Sn 0.000 0.500 0.169
Sn2 Sn 0.000 0.500 0.500
Sn3 Sn 0.500 0.500 0.000
Sn4 Sn 0.500 0.500 0.334



# Sm4Zn3Sn PBE-GGA relaxed
# Calculated formation energy = -0.420 eV per atom
data_Sm4Zn3Sn
_chemical_formula_sum 'Sm12 Zn9 Sn3'
_symmetry_space_group_name_H-M 'R -3 m'
_symmetry_Int_Tables_number 166
_symmetry_space_group_name_Hall '-R 3 2"'
_cell_length_a 5.2115
_cell_length_b 5.2115
_cell_length_c 25.8611
_cell_angle_alpha 90.00
_cell_angle_beta 90.00
_cell_angle_gamma 120.00
loop_
_atom_site_label
_atom_site_type_symbol
_atom_site_fract_x
_atom_site_fract_y
_atom_site_fract_z
Sm1 Sm 0.0000 0.0000 0.1213
Sm2 Sm 0.0000 0.0000 0.3712
Zn1 Zn 0.0000 0.0000 0.0000
Zn2 Zn 0.0000 0.0000 0.2534
Sn1 Sn 0.0000 0.0000 0.5000



# SmZn9Sn2 PBE-GGA relaxed
# Calculated formation energy = -0.093 eV per atom
data_SmZn9Sn2
_chemical_formula_sum 'Sm3 Zn27 Sn6'
_symmetry_space_group_name_H-M 'R -3 m'
_symmetry_Int_Tables_number 166
_symmetry_space_group_name_Hall '-R 3 2"'
_cell_length_a 5.5366
_cell_length_b 5.5366
_cell_length_c 24.9646
_cell_angle_alpha 90.00
_cell_angle_beta 90.00
_cell_angle_gamma 120.00
loop_
_atom_site_label
_atom_site_type_symbol
_atom_site_fract_x
_atom_site_fract_y
_atom_site_fract_z
Sm1 Sm 0.0000 0.0000 0.0000
Zn1 Zn 0.0000 0.0000 0.3318
Zn2 Zn 0.0000 0.0000 0.5000
Zn3 Zn 0.0012 0.5006 0.9176
Sn1 Sn 0.0000 0.0000 0.1364



# SmZn2Sn PBE-GGA relaxed
# E above lowest polymorph = 0 meV per atom
# Calculated formation energy = -0.394 eV per atom
data_SmZn2Sn
_chemical_formula_sum 'Sm1 Zn2 Sn1'
_symmetry_space_group_name_H-M 'P 4/m m m'
_symmetry_Int_Tables_number 123
_symmetry_space_group_name_Hall '-P 4 2'
_cell_length_a 4.416
_cell_length_b 4.416
_cell_length_c 4.464
_cell_angle_alpha 90.00
_cell_angle_beta 90.00
_cell_angle_gamma 90.00
loop_
_atom_site_label
_atom_site_type_symbol
_atom_site_fract_x
_atom_site_fract_y
_atom_site_fract_z
Sm1 Sm 0.000 0.000 0.000
Zn1 Zn 0.000 0.500 0.500
Sn1 Sn 0.500 0.500 0.000



# Sm3ZnSn PBE-GGA relaxed
# Calculated formation energy = -0.381 eV per atom
data_Sm3ZnSn
_chemical_formula_sum 'Sm6 Zn2 Sn2'
_symmetry_space_group_name_H-M 'P -1'
_symmetry_Int_Tables_number 2
_symmetry_space_group_name_Hall '-P 1'
_cell_length_a 4.487
_cell_length_b 7.633
_cell_length_c 8.846
_cell_angle_alpha 87.75
_cell_angle_beta 89.99
_cell_angle_gamma 72.92
loop_
_atom_site_label
_atom_site_type_symbol
_atom_site_fract_x
_atom_site_fract_y
_atom_site_fract_z
Sm1 Sm 0.048 0.403 0.298
Sm2 Sm 0.241 0.018 0.691
Sm3 Sm 0.401 0.699 0.077
Zn1 Zn 0.204 0.091 0.064
Sn1 Sn 0.399 0.700 0.441



# SmZnSn2 PBE-GGA relaxed
# E above lowest polymorph = 39 meV per atom
# Calculated formation energy = -0.449 eV per atom
data_SmZnSn2
_chemical_formula_sum 'Sm1 Zn1 Sn2'
_symmetry_space_group_name_H-M 'P 4/m m m'
_symmetry_Int_Tables_number 123
_symmetry_space_group_name_Hall '-P 4 2'
_cell_length_a 4.637
_cell_length_b 4.637
_cell_length_c 4.498
_cell_angle_alpha 90.00
_cell_angle_beta 90.00
_cell_angle_gamma 90.00
loop_
_atom_site_label
_atom_site_type_symbol
_atom_site_fract_x
_atom_site_fract_y
_atom_site_fract_z
Sm1 Sm 0.000 0.000 0.000
Zn1 Zn 0.500 0.500 0.000
Sn1 Sn 0.000 0.500 0.500



# Sm6Zn5Sn PBE-GGA relaxed
# Calculated formation energy = -0.384 eV per atom
data_Sm6Zn5Sn
_chemical_formula_sum 'Sm12 Zn10 Sn2'
_symmetry_space_group_name_H-M 'I m m m'
_symmetry_Int_Tables_number 71
_symmetry_space_group_name_Hall '-I 2 2'
_cell_length_a 5.188
_cell_length_b 7.376
_cell_length_c 15.642
_cell_angle_alpha 90.00
_cell_angle_beta 90.00
_cell_angle_gamma 90.00
loop_
_atom_site_label
_atom_site_type_symbol
_atom_site_fract_x
_atom_site_fract_y
_atom_site_fract_z
Sm1 Sm 0.000 0.241 0.000
Sm2 Sm 0.000 0.255 0.330
Zn1 Zn 0.000 0.000 0.168
Zn2 Zn 0.000 0.500 0.169
Zn3 Zn 0.000 0.500 0.500
Sn1 Sn 0.000 0.000 0.500



# SmZn2Sn PBE-GGA relaxed
# E above lowest polymorph = 170 meV per atom
# Calculated formation energy = -0.224 eV per atom
data_SmZn2Sn
_chemical_formula_sum 'Sm2 Zn4 Sn2'
_symmetry_space_group_name_H-M 'A m m 2'
_symmetry_Int_Tables_number 38
_symmetry_space_group_name_Hall 'A 2 -2'
_cell_length_a 4.435
_cell_length_b 5.799
_cell_length_c 7.221
_cell_angle_alpha 90.00
_cell_angle_beta 90.00
_cell_angle_gamma 90.00
loop_
_atom_site_label
_atom_site_type_symbol
_atom_site_fract_x
_atom_site_fract_y
_atom_site_fract_z
Sm1 Sm 0.000 0.000 0.000
Zn1 Zn 0.000 0.000 0.450
Zn2 Zn 0.500 0.000 0.286
Sn1 Sn 0.500 0.000 0.682



# SmZnSn2 PBE-GGA relaxed
# E above lowest polymorph = 230 meV per atom
# Calculated formation energy = -0.258 eV per atom
data_SmZnSn2
_chemical_formula_sum 'Sm3 Zn3 Sn6'
_symmetry_space_group_name_H-M 'R -3 m'
_symmetry_Int_Tables_number 166
_symmetry_space_group_name_Hall '-R 3 2"'
_cell_length_a 4.7350
_cell_length_b 4.7350
_cell_length_c 15.6806
_cell_angle_alpha 90.00
_cell_angle_beta 90.00
_cell_angle_gamma 120.00
loop_
_atom_site_label
_atom_site_type_symbol
_atom_site_fract_x
_atom_site_fract_y
_atom_site_fract_z
Sm1 Sm 0.0000 0.0000 0.0000
Zn1 Zn 0.0000 0.0000 0.5000
Sn1 Sn 0.0000 0.0000 0.2233



# Sm2Zn2Sn PBE-GGA relaxed
# Calculated formation energy = -0.464 eV per atom
data_Sm2Zn2Sn
_chemical_formula_sum 'Sm8 Zn8 Sn4'
_symmetry_space_group_name_H-M 'C 1 2/m 1'
_symmetry_Int_Tables_number 12
_symmetry_space_group_name_Hall '-C 2y'
_cell_length_a 11.113
_cell_length_b 4.538
_cell_length_c 10.827
_cell_angle_alpha 90.00
_cell_angle_beta 116.59
_cell_angle_gamma 90.00
loop_
_atom_site_label
_atom_site_type_symbol
_atom_site_fract_x
_atom_site_fract_y
_atom_site_fract_z
Sm1 Sm 0.009 0.000 0.328
Sm2 Sm 0.183 0.000 0.093
Zn1 Zn 0.029 0.500 0.891
Zn2 Zn 0.130 0.500 0.554
Sn1 Sn 0.223 0.500 0.334



# Sm5Zn4Sn PBE-GGA relaxed
# Calculated formation energy = -0.392 eV per atom
data_Sm5Zn4Sn
_chemical_formula_sum 'Sm5 Zn4 Sn1'
_symmetry_space_group_name_H-M 'P 4/m m m'
_symmetry_Int_Tables_number 123
_symmetry_space_group_name_Hall '-P 4 2'
_cell_length_a 3.645
_cell_length_b 3.645
_cell_length_c 18.760
_cell_angle_alpha 90.00
_cell_angle_beta 90.00
_cell_angle_gamma 90.00
loop_
_atom_site_label
_atom_site_type_symbol
_atom_site_fract_x
_atom_site_fract_y
_atom_site_fract_z
Sm1 Sm 0.000 0.000 0.000
Sm2 Sm 0.000 0.000 0.194
Sm3 Sm 0.000 0.000 0.388
Zn1 Zn 0.500 0.500 0.099
Zn2 Zn 0.500 0.500 0.287
Sn1 Sn 0.500 0.500 0.500



# Sm8Zn2Sn PBE-GGA relaxed
# Calculated formation energy = -0.239 eV per atom
data_Sm8Zn2Sn
_chemical_formula_sum 'Sm16 Zn4 Sn2'
_symmetry_space_group_name_H-M 'C 1 2/m 1'
_symmetry_Int_Tables_number 12
_symmetry_space_group_name_Hall '-C 2y'
_cell_length_a 16.465
_cell_length_b 5.287
_cell_length_c 8.520
_cell_angle_alpha 90.00
_cell_angle_beta 119.60
_cell_angle_gamma 90.00
loop_
_atom_site_label
_atom_site_type_symbol
_atom_site_fract_x
_atom_site_fract_y
_atom_site_fract_z
Sm1 Sm 0.067 0.000 0.221
Sm2 Sm 0.101 0.500 0.958
Sm3 Sm 0.146 0.000 0.705
Sm4 Sm 0.184 0.500 0.463
Zn1 Zn 0.219 0.000 0.114
Sn1 Sn 0.000 0.500 0.500